[1]
Material: Ce8AgOs2
Method: DFT, PBE
State: optimized geometry

formation energy: -0.044 eV/atom
M_tot: 5.43 μB per cell
energy: -146.5 eV/cell

The structure in CIF format:
```
data_Ce8AgOs2
_chemical_formula_sum 'Ce16 Ag2 Os4'
_cell_length_a 8.3130
_cell_length_b 12.9737
_cell_length_c 5.4813
_cell_angle_alpha 90.00
_cell_angle_beta 106.40
_cell_angle_gamma 90.00
_symmetry_space_group_name_H-M 'C 1 2/m 1'
_symmetry_Int_Tables_number 12
_symmetry_space_group_name_Hall '-C 2y'
loop_
_atom_site_label
_atom_site_type_symbol
_atom_site_fract_x
_atom_site_fract_y
_atom_site_fract_z
_atom_site_occupancy
Ce1 Ce 0.0000 0.2442 0.0000 1
Ce2 Ce 0.0864 0.5000 0.8182 1
Ce3 Ce 0.2072 0.1082 0.5662 1
Ag1 Ag 0.0000 0.0000 0.0000 1
Os1 Os 0.0000 0.2907 0.5000 1
```

[2]
Material: Ce5Ag2Os2
Method: DFT, PBE
State: optimized geometry

formation energy: -0.143 eV/atom
M_tot: 9.20 μB per cell
energy: -236.5 eV/cell

The structure in CIF format:
```
data_Ce5Ag2Os2
_chemical_formula_sum 'Ce20 Ag8 Os8'
_cell_length_a 15.5268
_cell_length_b 7.6715
_cell_length_c 7.6526
_cell_angle_alpha 90.00
_cell_angle_beta 90.00
_cell_angle_gamma 90.00
_symmetry_space_group_name_H-M 'C m c e'
_symmetry_Int_Tables_number 64
_symmetry_space_group_name_Hall '-C 2ac 2'
loop_
_atom_site_label
_atom_site_type_symbol
_atom_site_fract_x
_atom_site_fract_y
_atom_site_fract_z
_atom_site_occupancy
Ce1 Ce 0.0000 0.0000 0.0000 1
Ce2 Ce 0.1203 0.1725 0.3290 1
Ag1 Ag 0.2168 0.0000 0.0000 1
Os1 Os 0.0000 0.1356 0.6351 1
```

[3]
Material: CeSmAgOs
Method: DFT, PBE
State: optimized geometry

formation energy: -0.104 eV/atom
M_tot: 2.21 μB per cell
energy: -100.6 eV/cell

The structure in CIF format:
```
data_CeSmAgOs
_chemical_formula_sum 'Ce4 Sm4 Ag4 Os4'
_cell_length_a 7.1446
_cell_length_b 7.1446
_cell_length_c 7.1446
_cell_angle_alpha 90.00
_cell_angle_beta 90.00
_cell_angle_gamma 90.00
_symmetry_space_group_name_H-M 'F -4 3 m'
_symmetry_Int_Tables_number 216
_symmetry_space_group_name_Hall 'F -4 2 3'
loop_
_atom_site_label
_atom_site_type_symbol
_atom_site_fract_x
_atom_site_fract_y
_atom_site_fract_z
_atom_site_occupancy
Ce1 Ce 0.0000 0.0000 0.0000 1
Sm1 Sm 0.0000 0.0000 0.5000 1
Ag1 Ag 0.2500 0.2500 0.2500 1
Os1 Os 0.2500 0.2500 0.7500 1
```

[4]
Material: CeThAgOs
Method: DFT, PBE
State: optimized geometry

formation energy: -0.099 eV/atom
M_tot: 1.40 μB per cell
energy: -111.3 eV/cell

The structure in CIF format:
```
data_CeThAgOs
_chemical_formula_sum 'Ce4 Th4 Ag4 Os4'
_cell_length_a 7.2064
_cell_length_b 7.2064
_cell_length_c 7.2064
_cell_angle_alpha 90.00
_cell_angle_beta 90.00
_cell_angle_gamma 90.00
_symmetry_space_group_name_H-M 'F -4 3 m'
_symmetry_Int_Tables_number 216
_symmetry_space_group_name_Hall 'F -4 2 3'
loop_
_atom_site_label
_atom_site_type_symbol
_atom_site_fract_x
_atom_site_fract_y
_atom_site_fract_z
_atom_site_occupancy
Ce1 Ce 0.0000 0.0000 0.0000 1
Th1 Th 0.0000 0.0000 0.5000 1
Ag1 Ag 0.2500 0.2500 0.2500 1
Os1 Os 0.2500 0.2500 0.7500 1
```

[5]
Material: CeYAgOs
Method: DFT, PBE
State: optimized geometry

formation energy: -0.150 eV/atom
M_tot: 1.58 μB per cell
energy: -108.3 eV/cell

The structure in CIF format:
```
data_CeYAgOs
_chemical_formula_sum 'Ce4 Y4 Ag4 Os4'
_cell_length_a 7.0856
_cell_length_b 7.0856
_cell_length_c 7.0856
_cell_angle_alpha 90.00
_cell_angle_beta 90.00
_cell_angle_gamma 90.00
_symmetry_space_group_name_H-M 'F -4 3 m'
_symmetry_Int_Tables_number 216
_symmetry_space_group_name_Hall 'F -4 2 3'
loop_
_atom_site_label
_atom_site_type_symbol
_atom_site_fract_x
_atom_site_fract_y
_atom_site_fract_z
_atom_site_occupancy
Ce1 Ce 0.0000 0.0000 0.0000 1
Y1 Y 0.0000 0.0000 0.5000 1
Ag1 Ag 0.2500 0.2500 0.7500 1
Os1 Os 0.2500 0.2500 0.2500 1
```

[6]
Material: CeAgP
Method: DFT, PBE
State: optimized geometry

formation energy: -0.621 eV/atom
M_tot: 2.34 μB per cell
energy: -96.4 eV/cell

The structure in CIF format:
```
data_CeAgP
_chemical_formula_sum 'Ce6 Ag6 P6'
_cell_length_a 4.7453
_cell_length_b 4.7453
_cell_length_c 23.0951
_cell_angle_alpha 90.00
_cell_angle_beta 90.00
_cell_angle_gamma 120.00
_symmetry_space_group_name_H-M 'R -3 m'
_symmetry_Int_Tables_number 166
_symmetry_space_group_name_Hall '-R 3 2"'
loop_
_atom_site_label
_atom_site_type_symbol
_atom_site_fract_x
_atom_site_fract_y
_atom_site_fract_z
_atom_site_occupancy
Ce1 Ce 0.0000 0.0000 0.0958 1
Ag1 Ag 0.0000 0.0000 0.3269 1
P1 P 0.0000 0.0000 0.2151 1
```

[7]
Material: Ce4AgP5
Method: DFT, PBE
State: optimized geometry

formation energy: -1.125 eV/atom
M_tot: 4.10 μB per cell
energy: -194.7 eV/cell

The structure in CIF format:
```
data_Ce4AgP5
_chemical_formula_sum 'Ce12 Ag3 P15'
_cell_length_a 4.1564
_cell_length_b 4.1564
_cell_length_c 46.0909
_cell_angle_alpha 90.00
_cell_angle_beta 90.00
_cell_angle_gamma 120.00
_symmetry_space_group_name_H-M 'R -3 m'
_symmetry_Int_Tables_number 166
_symmetry_space_group_name_Hall '-R 3 2"'
loop_
_atom_site_label
_atom_site_type_symbol
_atom_site_fract_x
_atom_site_fract_y
_atom_site_fract_z
_atom_site_occupancy
Ce1 Ce 0.0000 0.0000 0.1087 1
Ce2 Ce 0.0000 0.0000 0.2977 1
Ag1 Ag 0.0000 0.0000 0.5000 1
P1 P 0.0000 0.0000 0.0000 1
P2 P 0.0000 0.0000 0.1958 1
P3 P 0.0000 0.0000 0.4047 1
```

[8]
Material: CePaAg2
Method: DFT, PBE
State: optimized geometry

formation energy: 0.295 eV/atom
M_tot: 0.40 μB per cell
energy: -59.9 eV/cell

The structure in CIF format:
```
data_CePaAg2
_chemical_formula_sum 'Ce3 Pa3 Ag6'
_cell_length_a 2.9970
_cell_length_b 2.9970
_cell_length_c 35.4593
_cell_angle_alpha 90.00
_cell_angle_beta 90.00
_cell_angle_gamma 120.00
_symmetry_space_group_name_H-M 'R -3 m'
_symmetry_Int_Tables_number 166
_symmetry_space_group_name_Hall '-R 3 2"'
loop_
_atom_site_label
_atom_site_type_symbol
_atom_site_fract_x
_atom_site_fract_y
_atom_site_fract_z
_atom_site_occupancy
Ce1 Ce 0.0000 0.0000 0.0000 1
Pa1 Pa 0.0000 0.0000 0.5000 1
Ag1 Ag 0.0000 0.0000 0.4128 1
```

[9]
Material: Ce2PaAg
Method: DFT, PBE
State: optimized geometry

formation energy: 0.254 eV/atom
offset from the most stable computed form: 0.272 eV per atom
M_tot: 12.08 μB per cell
energy: -92.8 eV/cell

The structure in CIF format:
```
data_Ce2PaAg
_chemical_formula_sum 'Ce8 Pa4 Ag4'
_cell_length_a 7.3412
_cell_length_b 7.3412
_cell_length_c 7.3412
_cell_angle_alpha 90.00
_cell_angle_beta 90.00
_cell_angle_gamma 90.00
_symmetry_space_group_name_H-M 'F m -3 m'
_symmetry_Int_Tables_number 225
_symmetry_space_group_name_Hall '-F 4 2 3'
loop_
_atom_site_label
_atom_site_type_symbol
_atom_site_fract_x
_atom_site_fract_y
_atom_site_fract_z
_atom_site_occupancy
Ce1 Ce 0.2500 0.2500 0.2500 1
Pa1 Pa 0.0000 0.0000 0.0000 1
Ag1 Ag 0.0000 0.0000 0.5000 1
```

[10]
Material: Ce2PaAg
Method: DFT, PBE
State: optimized geometry

formation energy: -0.018 eV/atom
offset from the most stable computed form: 0.000 eV per atom
M_tot: 0.00 μB per cell
energy: -24.3 eV/cell

The structure in CIF format:
```
data_Ce2PaAg
_chemical_formula_sum 'Ce2 Pa1 Ag1'
_cell_length_a 5.4910
_cell_length_b 5.4910
_cell_length_c 3.2133
_cell_angle_alpha 90.00
_cell_angle_beta 90.00
_cell_angle_gamma 90.00
_symmetry_space_group_name_H-M 'P 4/m m m'
_symmetry_Int_Tables_number 123
_symmetry_space_group_name_Hall '-P 4 2'
loop_
_atom_site_label
_atom_site_type_symbol
_atom_site_fract_x
_atom_site_fract_y
_atom_site_fract_z
_atom_site_occupancy
Ce1 Ce 0.0000 0.5000 0.0000 1
Pa1 Pa 0.0000 0.0000 0.5000 1
Ag1 Ag 0.5000 0.5000 0.5000 1
```